# 1
A geometry-optimized YMn2O5 structure, computed with PBE with a Hubbard U.

Magnetization   7.0 μB per formula unit
Final energy   -7.9723 eV per atom

a b c (Å): 5.7914 7.3741 8.5778
angles (deg): 90.00 90.00 90.00
Closest atoms and distances in Å follow each position.
Sites, in units of the cell vectors:
O1 0.5000 0.1508 0.4303  3 Mn 1.90-2.04
Mn1 0.7461 0.0000 0.5000  6 O 1.90-1.96
O2 0.5000 0.3492 0.9303  3 Mn 1.90-2.04
Y1 0.0000 0.1381 0.1705  8 O 2.34-2.51
O3 0.5000 0.8492 0.5697  3 Mn 1.90-2.04
O4 0.7592 0.6067 0.7932  2 Mn 1.94
O5 0.2408 0.6067 0.7932  2 Mn 1.94
O6 0.2408 0.8933 0.2932  2 Mn 1.94
O7 0.0000 0.6632 0.0572  2 Mn 1.96
O8 0.0000 0.1632 0.4428  2 Mn 1.96
O9 0.7292 0.0000 0.0000  2 Mn 1.97
Mn2 0.2539 0.5000 0.0000  6 O 1.90-1.96
Mn3 0.5000 0.9110 0.1514  5 O 1.94-2.04
O10 0.0000 0.3368 0.9428  2 Mn 1.96
O11 0.2708 0.5000 0.5000  2 Mn 1.97
Mn4 0.5000 0.5890 0.6514  5 O 1.94-2.04
Mn5 0.5000 0.4110 0.3486  5 O 1.94-2.04
Y2 0.0000 0.8619 0.8295  8 O 2.34-2.51
O12 0.2408 0.3933 0.2068  2 Mn 1.94
O13 0.2708 0.0000 0.0000  2 Mn 1.97
O14 0.2408 0.1067 0.7068  2 Mn 1.94
Mn6 0.7461 0.5000 0.0000  6 O 1.90-1.96
O15 0.5000 0.6508 0.0697  3 Mn 1.90-2.04
Mn7 0.2539 0.0000 0.5000  6 O 1.90-1.96
Y3 0.0000 0.6381 0.3295  8 O 2.34-2.51
Mn8 0.5000 0.0890 0.8486  5 O 1.94-2.04
O16 0.7592 0.8933 0.2932  2 Mn 1.94
O17 0.0000 0.8368 0.5572  2 Mn 1.96
Y4 0.0000 0.3619 0.6705  8 O 2.34-2.51
O18 0.7592 0.1067 0.7068  2 Mn 1.94
O19 0.7292 0.5000 0.5000  2 Mn 1.97
O20 0.7592 0.3933 0.2068  2 Mn 1.94


# 2
A geometry-optimized Y2MnO structure, computed with PBE with a Hubbard U.

Magnetization   4.0 μB per formula unit
Final energy   -7.4396 eV per atom

a b c (Å): 6.8850 6.8850 6.3835
angles (deg): 57.37 57.37 90.00
Closest atoms and distances in Å follow each position.
Sites, in units of the cell vectors:
O1 0.5000 0.5000 0.0000  4 Y 2.21
Mn1 0.7500 0.2500 0.5000  4 Y 3.22
Mn2 0.0000 0.0000 0.0000  4 Y 3.22
Y1 0.2403 0.6250 0.2500  2 O 2.21
Y2 0.8750 0.7597 0.7500  2 O 2.21
O2 0.2500 0.7500 0.5000  4 Y 2.21
Y3 0.3750 0.4903 0.7500  2 O 2.21
Y4 0.5097 0.1250 0.2500  2 O 2.21


# 3
A geometry-optimized Y3MnO7 structure, computed with PBE with a Hubbard U.

Magnetization   3.9 μB per formula unit
Final energy   -8.3414 eV per atom

a b c (Å): 6.4055 6.4055 7.3676
angles (deg): 90.00 90.00 108.75
Closest atoms and distances in Å follow each position.
Sites, in units of the cell vectors:
O1 0.0766 0.3225 0.5255  1 Mn 1.94
O2 0.6914 0.9332 0.5346  1 Mn 1.93
O3 0.6359 0.3641 0.2500  4 Y 2.24-2.33
Y1 0.4684 0.4684 0.5000  6 O 2.30-2.39
Mn1 0.9949 0.9949 0.0000  6 O 1.93-1.97
Y2 0.0037 0.4606 0.2443  7 O 2.24-2.41
O4 0.9234 0.6775 0.0255  1 Mn 1.94
O5 0.3086 0.0668 0.0346  1 Mn 1.93
Y3 0.5394 0.9963 0.2557  7 O 2.24-2.41
O6 0.3641 0.6359 0.7500  4 Y 2.24-2.33
Y4 0.4606 0.0037 0.7557  7 O 2.24-2.41
O7 0.3225 0.0766 0.4745  1 Mn 1.94
O8 0.3692 0.6308 0.2500  4 Y 2.24-2.30
O9 0.9326 0.0674 0.2500  2 Mn 1.97
O10 0.0668 0.3086 0.9654  1 Mn 1.93
O11 0.6775 0.9234 0.9745  1 Mn 1.94
O12 0.0674 0.9326 0.7500  2 Mn 1.97
Y5 0.5316 0.5316 0.0000  6 O 2.30-2.39
Mn2 0.0051 0.0051 0.5000  6 O 1.93-1.97
O13 0.6308 0.3692 0.7500  4 Y 2.24-2.30
Y6 0.9963 0.5394 0.7443  7 O 2.24-2.41
O14 0.9332 0.6914 0.4654  1 Mn 1.93